The following is a DFT calculation (PBE+U) of a relaxed structure of La3VO6.

Cell and atoms, written as POSCAR:
```
La3VO6
1.0
4.733 -5.949 0.000
4.733 5.949 0.000
0.000 0.000 5.773
La V O
6 2 12
Cartesian
4.733 4.707 2.887
2.884 1.280 3.103
2.884 -1.280 0.216
6.583 1.280 3.103
6.583 -1.280 0.216
4.733 -4.707 0.000
4.733 2.285 0.427
4.733 -2.285 3.314
3.285 3.120 1.424
1.508 0.148 1.570
1.508 -0.148 4.457
4.733 2.541 4.276
6.182 3.120 1.424
4.733 0.553 1.287
4.733 -0.553 4.174
3.285 -3.120 4.311
4.733 -2.541 1.389
7.959 0.148 1.570
7.959 -0.148 4.457
6.182 -3.120 4.311
```

Summary:
total energy: -8.292 eV/atom
density: 5.76 g/cm3
size of the total moment: 2.00 μB/f.u.
SG: No. 36